[1]
Compound: NaHoZr
Source: Alexandria
Functional: PBE
Structure: relaxed

Calculated values
The density comes out at 5.26 g/cm³. Its polymorph energy (0 for the lowest one) is 0.0 kJ per mole of atoms. The calculation puts the magnetic moment at 0.000 μB per formula unit. The total energy is -14.2 eV/f.u. The calculation puts the formation energy at 0.093 eV per atom.

a b c (Å): 3.352 3.352 15.691
angles (deg): 90.00 90.00 90.00
Space group P4/nmm (No. 129, origin choice 2)
Inequivalent atoms, fractional coordinates:
Na1 0.250 0.250 0.098 x2
Ho1 0.250 0.250 0.714 x2
Zr1 0.250 0.250 0.430 x2

[2]
Compound: ZrTaFeMo2
Source: Alexandria
Functional: PBE
Structure: relaxed

Calculated values
The density comes out at 8.82 g/cm³. The calculation puts the magnetic moment at 0.000 μB per formula unit. The total energy is -41.1 eV/f.u. The calculation puts the formation energy at 1.878 eV per atom.

a b c (Å): 4.764 4.764 4.310
angles (deg): 90.00 90.00 90.00
Space group P4/mmm (No. 123)
Inequivalent atoms, fractional coordinates:
Zr1 0.000 0.000 0.000 x1
Ta1 0.500 0.500 0.500 x1
Fe1 0.000 0.000 0.500 x1
Mo1 0.000 0.500 0.000 x2

[3]
Compound: YReBiP2
Source: Alexandria
Functional: PBE
Structure: relaxed

Calculated values
The density comes out at 6.24 g/cm³. The calculation puts the magnetic moment at 0.030 μB per formula unit. The total energy is -24.2 eV/f.u. The calculation puts the formation energy at 1.885 eV per atom.

a b c (Å): 5.025 5.025 5.759
angles (deg): 90.00 90.00 90.00
Space group P4/mmm (No. 123)
Inequivalent atoms, fractional coordinates:
Y1 0.000 0.000 0.000 x1
Re1 0.500 0.500 0.500 x1
Bi1 0.000 0.000 0.500 x1
P1 0.000 0.500 0.000 x2

> magnetic moment of number 2 (ZrTaFeMo2)?

0.000 μB per formula unit

> The highest magnetic moment belongs to which entry?

YReBiP2